This record from Alexandria describes a relaxed structure of Ba2BiPd2. The functional is GGA-PBE.

Summary:
Formation energy, eV per atom: -0.676
ΔE to the lowest computed polymorph, eV/atom: 0.000
M_tot, μB/f.u.: 0.00
Fermi-level density of states, states/eV per cell: 2.1
SG: Immm, No. 71

Structure (POSCAR):
```
Ba2BiPd2
1.0
-2.4245 3.1690 4.8456
2.4245 -3.1690 4.8456
2.4245 3.1690 -4.8456
Ba Bi Pd
2 1 2
Cartesian
0.0000 0.0000 1.9820 Ba
0.0000 0.0000 7.7091 Ba
0.0000 3.1690 0.0000 Bi
2.4245 1.3985 0.0000 Pd
0.0000 1.7706 4.8456 Pd
```